A plane-wave DFT calculation with PBE was carried out for a relaxed TiNb2Ga crystal.

The structure in CIF format:
```
data_TiNb2Ga
_cell_length_a 2.826
_cell_length_b 7.439
_cell_length_c 6.837
_cell_angle_alpha 90.00
_cell_angle_beta 90.00
_cell_angle_gamma 90.00
_symmetry_space_group_name_H-M 'P m m n'
_symmetry_Int_Tables_number 59
loop_
_symmetry_equiv_pos_as_xyz
'x,y,z'
'-x,-y,-z'
'-x+1/2,-y+1/2,z'
'x+1/2,y+1/2,-z'
'x+1/2,-y,-z'
'-x+1/2,y,z'
'-x,y+1/2,-z'
'x,-y+1/2,z'
loop_
_atom_site_label
_atom_site_type_symbol
_atom_site_fract_x
_atom_site_fract_y
_atom_site_fract_z
Ti1 Ti 0.250 0.250 0.034
Nb1 Nb 0.250 0.561 0.281
Ga1 Ga 0.250 0.750 0.619
```

Calculated values
Volume = 18.0 A^3/atom
DFT total energy = -7.733 eV/atom
Formation energy from the elements = 0.0320 eV per atom


A plane-wave DFT calculation with PBE was carried out for a relaxed Ba5In4 crystal.

The structure in CIF format:
```
data_Ba5In4
_cell_length_a 11.230
_cell_length_b 5.884
_cell_length_c 12.020
_cell_angle_alpha 90.00
_cell_angle_beta 108.85
_cell_angle_gamma 90.00
_symmetry_space_group_name_H-M 'C 1 2/m 1'
_symmetry_Int_Tables_number 12
loop_
_symmetry_equiv_pos_as_xyz
'x,y,z'
'-x,-y,-z'
'-x,y,-z'
'x,-y,z'
'x+1/2,y+1/2,z'
'-x+1/2,-y+1/2,-z'
'-x+1/2,y+1/2,-z'
'x+1/2,-y+1/2,z'
loop_
_atom_site_label
_atom_site_type_symbol
_atom_site_fract_x
_atom_site_fract_y
_atom_site_fract_z
Ba1 Ba 0.000 0.000 0.000
Ba2 Ba 0.107 0.000 0.400
Ba3 Ba 0.231 0.500 0.190
In1 In 0.089 0.500 0.621
In2 In 0.111 0.500 0.870
```

Calculated values
Volume = 41.8 A^3/atom
DFT total energy = -2.648 eV/atom
Distance to the lowest polymorph of the same formula = 0.000 eV per atom
Formation energy from the elements = -0.3623 eV per atom


A plane-wave DFT calculation with PBE was carried out for a relaxed KTlCl2 crystal.

The structure in CIF format:
```
data_KTlCl2
_cell_length_a 4.4462
_cell_length_b 4.4462
_cell_length_c 23.3674
_cell_angle_alpha 90.00
_cell_angle_beta 90.00
_cell_angle_gamma 120.00
_symmetry_space_group_name_H-M 'R 3 m'
_symmetry_Int_Tables_number 160
_symmetry_space_group_name_Hall 'R 3 -2"'
loop_
_atom_site_label
_atom_site_type_symbol
_atom_site_fract_x
_atom_site_fract_y
_atom_site_fract_z
K1 K 0.0000 0.0000 0.0000
Tl1 Tl 0.0000 0.0000 0.8317
Cl1 Cl 0.0000 0.0000 0.4127
Cl2 Cl 0.0000 0.0000 0.5860
```

Calculated values
Volume = 33.3 A^3/atom
DFT total energy = -3.255 eV/atom
Distance to the lowest polymorph of the same formula = 0.026 eV per atom
E_form (uncorrected) = -1465.5 meV per atom


> Which value of volume does entry 1 give?

18.0 A^3/atom


> DFT total energy of number 3 (KTlCl2)?

-3.255 eV/atom